The following is a DFT calculation (PBE) of a geometry-optimized Pm12Tl3Pb structure.

Cell: 4.962 4.962 19.864 Å, 90.00 90.00 90.00°
Positions (direct):
Tl (0.000, 0.000, 0.750)
Tl (0.000, 0.000, 0.250)
Tl (0.000, 0.000, 0.500)
Pm (0.500, 0.500, 0.000)
Pm (0.500, 0.500, 0.750)
Pm (0.500, 0.000, 0.875)
Pm (0.500, 0.500, 0.500)
Pm (0.000, 0.500, 0.625)
Pm (0.500, 0.000, 0.625)
Pm (0.500, 0.000, 0.375)
Pm (0.000, 0.500, 0.125)
Pm (0.000, 0.500, 0.375)
Pm (0.500, 0.500, 0.250)
Pm (0.000, 0.500, 0.875)
Pm (0.500, 0.000, 0.125)
Pb (0.000, 0.000, 0.000)

## Properties
**Symmetry**: P4/mmm
**Magnetic moment**: 0.0 μB per formula unit
**E**: -4.48 eV per atom

The following is a DFT calculation (PBE) of a geometry-optimized Pm4Tl3Pb structure.

Cell: 5.666 7.394 11.162 Å, 90.00 90.00 90.00°
Positions (direct):
Pm (0.063, 0.751, 0.750)
Pm (0.500, 0.248, 0.000)
Pm (0.937, 0.751, 0.250)
Pm (0.937, 0.249, 0.250)
Pm (0.063, 0.249, 0.750)
Pm (0.500, 0.248, 0.500)
Pm (0.500, 0.752, 0.500)
Pm (0.500, 0.752, 0.000)
Tl (0.000, 0.000, 0.000)
Tl (0.431, 0.500, 0.250)
Tl (0.426, 0.000, 0.250)
Tl (0.569, 0.500, 0.750)
Tl (0.000, 0.000, 0.500)
Tl (0.574, 0.000, 0.750)
Pb (0.000, 0.500, 0.500)
Pb (0.000, 0.500, 0.000)

## Properties
**Symmetry**: Pmma
**Magnetic moment**: 0.0 μB per formula unit
**Polymorph energy (0 for the lowest one)**: 0 meV/atom
**E**: -4.14 eV per atom

The following is a DFT calculation (PBE) of a geometry-optimized Pm2TlPb9 structure.

Cell: 4.869 4.869 15.353 Å, 90.00 90.00 90.00°
Positions (direct):
Pb (0.500, 0.000, 0.169)
Pb (0.000, 0.500, 0.500)
Pb (0.500, 0.500, 0.000)
Pb (0.500, 0.500, 0.331)
Pb (0.500, 0.000, 0.500)
Pb (0.000, 0.500, 0.831)
Pb (0.000, 0.500, 0.169)
Pb (0.500, 0.000, 0.831)
Pb (0.500, 0.500, 0.669)
Pm (0.000, 0.000, 0.347)
Pm (0.000, 0.000, 0.653)
Tl (0.000, 0.000, 0.000)

## Properties
**Symmetry**: P4/mmm
**Magnetic moment**: 0.0 μB per formula unit
**E**: -4.00 eV per atom